Entry a
ZrSb3: optimized geometry, PBE-GGA.

a = 3.767 Å, b = 3.767 Å, c = 7.103 Å
α = 90.00°, β = 90.00°, γ = 90.00°
Fractional positions:
Zr 0.500 0.500 0.750
Sb 0.000 0.000 0.963
Sb 0.000 0.000 0.537
Sb 0.500 0.500 0.250

Summary:
Crystal system = tetragonal
Space-group type = P4/mmm, No. 123
Theoretical density = 7.5 g/cm3

Entry b
ZrSb3: optimized geometry, PBE-GGA.

a = 10.599 Å, b = 10.599 Å, c = 10.599 Å
α = 18.22°, β = 18.22°, γ = 18.22°
Fractional positions:
Sb 0.258 0.258 0.258
Zr 0.000 0.000 0.000
Sb 0.500 0.500 0.500
Sb 0.742 0.742 0.742

Summary:
Crystal system = trigonal
Space-group type = R-3m, No. 166
Theoretical density = 7.5 g/cm3

Going by the energies, entry a is most stable and the next is 11.6 kJ/mol of atoms up.

Entry a
ZrSb3: optimized geometry, PBE-GGA.

a = 3.347 Å, b = 3.347 Å, c = 10.837 Å
α = 90.00°, β = 90.00°, γ = 120.00°
Fractional positions:
Sb 0.000 0.000 0.970
Zr 0.667 0.333 0.750
Sb 0.000 0.000 0.530
Sb 0.667 0.333 0.250

Summary:
Crystal system = hexagonal
Space-group type = P-6m2, No. 187
Theoretical density = 7.2 g/cm3

Entry b
ZrSb3: optimized geometry, PBE-GGA.

a = 5.160 Å, b = 5.160 Å, c = 3.759 Å
α = 90.00°, β = 90.00°, γ = 90.00°
Fractional positions:
Sb 0.000 0.000 0.000
Zr 0.000 0.500 0.500
Sb 0.500 0.000 0.500
Sb 0.500 0.500 0.000

Summary:
Crystal system = tetragonal
Space-group type = P4/mmm, No. 123
Theoretical density = 7.6 g/cm3

Entry c
ZrSb3: optimized geometry, PBE-GGA.

a = 5.844 Å, b = 5.844 Å, c = 5.844 Å
α = 142.61°, β = 118.48°, γ = 74.25°
Fractional positions:
Sb 0.684 0.702 0.982
Sb 0.279 0.298 0.982
Sb 0.122 0.500 0.622
Zr 0.748 0.000 0.748

Summary:
Crystal system = orthorhombic
Space-group type = Imm2, No. 44
Theoretical density = 7.3 g/cm3

Entry d
ZrSb3: optimized geometry, PBE-GGA.

a = 5.271 Å, b = 6.154 Å, c = 6.202 Å
α = 90.00°, β = 90.00°, γ = 90.00°
Fractional positions:
Sb 0.500 0.846 0.755
Sb 0.500 0.384 0.000
Zr 0.500 0.292 0.500
Zr 0.000 0.708 0.000
Sb 0.500 0.846 0.245
Sb 0.000 0.154 0.255
Sb 0.000 0.616 0.500
Sb 0.000 0.154 0.745

Summary:
Crystal system = orthorhombic
Space-group type = Pmmn, No. 59
Theoretical density = 7.5 g/cm3

Going by the energies, entry c is most stable and the next is 16.3 kJ/mol of atoms up.

Entry a
Zr4Sb5: optimized geometry, PBE-GGA.

a = 9.037 Å, b = 9.037 Å, c = 5.980 Å
α = 90.00°, β = 90.00°, γ = 120.00°
Fractional positions:
Sb 0.285 0.000 0.750
Sb 0.667 0.333 0.000
Sb 0.285 0.285 0.250
Zr 0.376 0.000 0.250
Zr 0.624 0.000 0.750
Sb 0.000 0.285 0.750
Zr 0.376 0.376 0.750
Zr 0.000 0.624 0.750
Zr 0.000 0.000 0.500
Zr 0.000 0.000 0.000
Sb 0.000 0.715 0.250
Sb 0.715 0.715 0.750
Zr 0.624 0.624 0.250
Sb 0.333 0.667 0.000
Sb 0.667 0.333 0.500
Sb 0.715 0.000 0.250
Zr 0.000 0.376 0.250
Sb 0.333 0.667 0.500

Summary:
Crystal system = hexagonal
Space-group type = P6_3/mcm, No. 193
Theoretical density = 7.6 g/cm3

Entry b
Zr4Sb5: optimized geometry, PBE-GGA.

a = 7.533 Å, b = 7.533 Å, c = 7.533 Å
α = 94.26°, β = 94.26°, γ = 148.35°
Fractional positions:
Zr 0.000 0.323 0.323
Sb 0.673 0.673 0.345
Zr 0.000 0.677 0.677
Zr 0.677 0.000 0.677
Sb 0.673 0.327 0.000
Sb 0.327 0.327 0.655
Zr 0.323 0.000 0.323
Sb 0.327 0.673 0.000
Sb 0.000 0.000 0.000

Summary:
Crystal system = tetragonal
Space-group type = I4/mmm, No. 139
Theoretical density = 7.5 g/cm3

Going by the energies, entry a is most stable and the next is 27.3 kJ/mol of atoms up.

Entry a
Zr3Sb2: optimized geometry, PBE-GGA.

a = 3.971 Å, b = 10.611 Å, c = 11.309 Å
α = 90.00°, β = 90.00°, γ = 90.00°
Fractional positions:
Zr 0.750 0.792 0.793
Zr 0.250 0.924 0.374
Zr 0.250 0.880 0.040
Zr 0.250 0.576 0.874
Zr 0.750 0.708 0.293
Zr 0.250 0.620 0.540
Sb 0.250 0.499 0.302
Sb 0.250 0.001 0.802
Zr 0.750 0.120 0.960
Zr 0.250 0.292 0.707
Zr 0.750 0.076 0.626
Sb 0.250 0.322 0.963
Zr 0.750 0.424 0.126
Zr 0.750 0.380 0.460
Sb 0.750 0.999 0.198
Sb 0.750 0.678 0.037
Sb 0.250 0.178 0.463
Sb 0.750 0.822 0.537
Sb 0.750 0.501 0.698
Zr 0.250 0.208 0.207

Summary:
Crystal system = orthorhombic
Space-group type = Pnma, No. 62
Theoretical density = 7.2 g/cm3

Entry b
Zr3Sb2: optimized geometry, PBE-GGA.

a = 5.831 Å, b = 7.884 Å, c = 7.375 Å
α = 122.31°, β = 113.29°, γ = 90.00°
Fractional positions:
Zr 0.361 0.504 0.723
Sb 0.619 0.840 0.238
Zr 0.139 0.781 0.277
Zr 0.639 0.496 0.277
Zr 0.250 0.000 0.000
Sb 0.381 0.160 0.762
Sb 0.881 0.602 0.762
Zr 0.750 0.000 0.000
Zr 0.861 0.219 0.723
Sb 0.119 0.398 0.238

Summary:
Crystal system = orthorhombic
Space-group type = Ibam, No. 72
Theoretical density = 6.8 g/cm3

Entry c
Zr3Sb2: optimized geometry, PBE-GGA.

a = 4.868 Å, b = 4.868 Å, c = 6.109 Å
α = 90.00°, β = 90.00°, γ = 120.00°
Fractional positions:
Zr 0.667 0.333 0.684
Zr 0.000 0.000 0.000
Sb 0.333 0.667 0.799
Zr 0.333 0.667 0.316
Sb 0.667 0.333 0.201

Summary:
Crystal system = trigonal
Space-group type = P-3m1, No. 164
Theoretical density = 6.8 g/cm3

Going by the energies, entry a is most stable and the next is 22.7 kJ/mol of atoms up.

Entry a
Zr3Sb5: optimized geometry, PBE-GGA.

a = 6.080 Å, b = 6.080 Å, c = 5.263 Å
α = 90.00°, β = 90.00°, γ = 100.38°
Fractional positions:
Sb 0.296 0.296 0.500
Sb 0.000 0.000 0.000
Sb 0.500 0.000 0.000
Sb 0.000 0.500 0.000
Zr 0.224 0.776 0.500
Zr 0.776 0.224 0.500
Sb 0.704 0.704 0.500
Zr 0.500 0.500 0.000

Summary:
Crystal system = orthorhombic
Space-group type = Cmmm, No. 65
Theoretical density = 7.7 g/cm3

Entry b
Zr3Sb5: optimized geometry, PBE-GGA.

a = 8.841 Å, b = 8.841 Å, c = 5.850 Å
α = 90.00°, β = 90.00°, γ = 120.00°
Fractional positions:
Sb 0.000 0.256 0.250
Sb 0.256 0.256 0.750
Zr 0.387 0.000 0.750
Sb 0.000 0.744 0.750
Sb 0.744 0.000 0.750
Zr 0.613 0.000 0.250
Zr 0.000 0.613 0.250
Zr 0.613 0.613 0.750
Zr 0.000 0.387 0.750
Sb 0.744 0.744 0.250
Zr 0.387 0.387 0.250
Sb 0.667 0.333 0.500
Sb 0.333 0.667 0.000
Sb 0.667 0.333 0.000
Sb 0.256 0.000 0.250
Sb 0.333 0.667 0.500

Summary:
Crystal system = hexagonal
Space-group type = P6_3/mcm, No. 193
Theoretical density = 7.4 g/cm3

Going by the energies, entry b is most stable and the next is 9.1 kJ/mol of atoms up.

Entry a
Sc: optimized geometry, PBE-GGA.

a = 3.177 Å, b = 3.177 Å, c = 3.177 Å
α = 109.47°, β = 109.47°, γ = 109.47°
Fractional positions:
Sc 0.000 0.000 0.000

Summary:
Crystal system = cubic
Space-group type = Im-3m, No. 229
Theoretical density = 3.0 g/cm3

Entry b
Sc: optimized geometry, PBE-GGA.

a = 3.284 Å, b = 3.284 Å, c = 10.471 Å
α = 90.00°, β = 90.00°, γ = 120.00°
Fractional positions:
Sc 0.000 0.000 0.000
Sc 0.000 0.000 0.500
Sc 0.333 0.667 0.250
Sc 0.667 0.333 0.750

Summary:
Crystal system = hexagonal
Space-group type = P6_3/mmc, No. 194
Theoretical density = 3.1 g/cm3

Going by the energies, entry b is most stable and the next is 7.8 kJ/mol of atoms up.

Entry a
Sc: optimized geometry, PBE-GGA.

a = 4.265 Å, b = 4.265 Å, c = 4.265 Å
α = 97.61°, β = 97.61°, γ = 137.31°
Fractional positions:
Sc 0.125 0.875 0.750
Sc 0.875 0.125 0.250

Summary:
Crystal system = tetragonal
Space-group type = I4_1/amd, No. 141
Theoretical density = 3.0 g/cm3

Entry b
Sc: optimized geometry, PBE-GGA.

a = 4.532 Å, b = 4.532 Å, c = 4.532 Å
α = 60.00°, β = 60.00°, γ = 60.00°
Fractional positions:
Sc 0.750 0.750 0.750
Sc 0.000 0.000 0.000

Summary:
Crystal system = cubic
Space-group type = Fd-3m, No. 227
Theoretical density = 2.3 g/cm3

Entry c
Sc: optimized geometry, PBE-GGA.

a = 5.084 Å, b = 5.084 Å, c = 4.885 Å
α = 90.00°, β = 90.00°, γ = 120.00°
Fractional positions:
Sc 0.667 0.333 0.750
Sc 0.000 0.000 0.250
Sc 0.000 0.000 0.750
Sc 0.333 0.667 0.250

Summary:
Crystal system = hexagonal
Space-group type = P6_3/mmc, No. 194
Theoretical density = 2.7 g/cm3

Entry d
Sc: optimized geometry, PBE-GGA.

a = 3.259 Å, b = 3.260 Å, c = 3.260 Å
α = 59.99°, β = 60.01°, γ = 60.01°
Fractional positions:
Sc 0.000 0.500 0.500

Summary:
Crystal system = cubic
Space-group type = Fm-3m, No. 225
Theoretical density = 3.0 g/cm3

Going by the energies, entry d is most stable and the next is 34.9 kJ/mol of atoms up.

Entry a
Sc: optimized geometry, PBE-GGA.

a = 9.138 Å, b = 9.138 Å, c = 9.138 Å
α = 90.00°, β = 90.00°, γ = 90.00°
Fractional positions:
Sc 0.702 0.702 0.702
Sc 0.389 0.389 0.389
Sc 0.702 0.298 0.298
Sc 0.798 0.798 0.202
Sc 0.202 0.798 0.798
Sc 0.111 0.889 0.111
Sc 0.611 0.611 0.389
Sc 0.298 0.298 0.702
Sc 0.389 0.611 0.611
Sc 0.111 0.111 0.889
Sc 0.202 0.202 0.202
Sc 0.798 0.202 0.798
Sc 0.611 0.389 0.611
Sc 0.889 0.111 0.111
Sc 0.889 0.889 0.889
Sc 0.298 0.702 0.298

Summary:
Crystal system = cubic
Space-group type = I-43m, No. 217
Theoretical density = 1.6 g/cm3

Entry b
Sc: optimized geometry, PBE-GGA.

a = 10.784 Å, b = 10.784 Å, c = 3.151 Å
α = 90.00°, β = 90.00°, γ = 120.00°
Fractional positions:
Sc 0.616 0.476 0.250
Sc 0.524 0.140 0.250
Sc 0.140 0.616 0.750
Sc 0.766 0.052 0.250
Sc 0.714 0.766 0.750
Sc 0.052 0.286 0.750
Sc 0.286 0.234 0.250
Sc 0.948 0.714 0.250
Sc 0.860 0.384 0.250
Sc 0.234 0.948 0.750
Sc 0.476 0.860 0.750
Sc 0.384 0.524 0.750

Summary:
Crystal system = hexagonal
Space-group type = P6_3/m, No. 176
Theoretical density = 2.8 g/cm3

Entry c
Sc: optimized geometry, PBE-GGA.

a = 2.966 Å, b = 2.966 Å, c = 2.966 Å
α = 90.00°, β = 90.00°, γ = 90.00°
Fractional positions:
Sc 0.000 0.000 0.000

Summary:
Crystal system = cubic
Space-group type = Pm-3m, No. 221
Theoretical density = 2.9 g/cm3

Going by the energies, entry b is most stable and the next is 39.7 kJ/mol of atoms up.